LiPmCdGe | Alexandria via LeMat-Bulk | PBE-GGA | optimized geometry; formation enthalpy at 0 K = -0.417 eV/atom; V = 89.5 Å³ per cell
1.0
5.022 0.000 0.000
2.511 4.349 0.000
2.511 1.450 4.100
Li Pm Cd Ge
1 1 1 1
Direct
0.000 0.000 0.000 Li
0.500 0.500 0.500 Pm
0.750 0.750 0.750 Cd
0.250 0.250 0.250 Ge

LiPmCdGe2 | Alexandria via LeMat-Bulk | PBE-GGA | optimized geometry; formation enthalpy at 0 K = -0.484 eV/atom; V = 105.0 Å³ per cell
1.0
-3.459 1.429 1.969
-2.303 -3.027 -1.849
3.970 -2.790 4.458
Li Pm Ge Cd
1 1 2 1
Direct
0.750 0.250 0.500 Li
0.000 0.000 0.000 Pm
0.394 0.394 0.788 Ge
0.606 0.606 0.212 Ge
0.250 0.750 0.500 Cd

Copy entry 1 word for word.
LiPmCdGe | Alexandria via LeMat-Bulk | PBE-GGA | optimized geometry; formation enthalpy at 0 K = -0.417 eV/atom; V = 89.5 Å³ per cell
1.0
5.022 0.000 0.000
2.511 4.349 0.000
2.511 1.450 4.100
Li Pm Cd Ge
1 1 1 1
Direct
0.000 0.000 0.000 Li
0.500 0.500 0.500 Pm
0.750 0.750 0.750 Cd
0.250 0.250 0.250 Ge